VASP calculation (GGA-PBEsol) on crystalline K3NaP4H4O14 at its relaxed geometry.

Lattice parameters (Å, degrees): 9.424 9.424 11.219 98.40 98.40 45.09
Sites, in units of the cell vectors:
K 0.107 0.893 0.750
K 0.163 0.560 0.002
K 0.440 0.837 0.498
K 0.560 0.163 0.502
K 0.837 0.440 0.998
K 0.893 0.107 0.250
Na 0.000 0.500 0.500
Na 0.500 0.000 0.000
P 0.148 0.246 0.764
P 0.216 0.634 0.382
P 0.246 0.148 0.264
P 0.366 0.784 0.118
P 0.634 0.216 0.882
P 0.754 0.852 0.736
P 0.784 0.366 0.618
P 0.852 0.754 0.236
H 0.086 0.513 0.736
H 0.428 0.451 0.240
H 0.451 0.428 0.740
H 0.487 0.914 0.764
H 0.513 0.086 0.236
H 0.549 0.572 0.260
H 0.572 0.549 0.760
H 0.914 0.487 0.264
O 0.030 0.287 0.210
O 0.080 0.653 0.263
O 0.161 0.368 0.692
O 0.173 0.273 0.898
O 0.179 0.817 0.397
O 0.183 0.821 0.103
O 0.204 0.561 0.486
O 0.273 0.173 0.398
O 0.287 0.030 0.710
O 0.347 0.920 0.237
O 0.368 0.161 0.192
O 0.435 0.444 0.328
O 0.439 0.796 0.014
O 0.444 0.435 0.828
O 0.556 0.565 0.172
O 0.561 0.204 0.986
O 0.565 0.556 0.672
O 0.632 0.839 0.808
O 0.653 0.080 0.763
O 0.713 0.970 0.290
O 0.727 0.827 0.602
O 0.796 0.439 0.514
O 0.817 0.179 0.897
O 0.821 0.183 0.603
O 0.827 0.727 0.102
O 0.839 0.632 0.308
O 0.920 0.347 0.737
O 0.970 0.713 0.790

## Properties
DOS(E_F) = 0.00 states/eV/atom
Electronic total energy = -331.826 eV/cell